(1)
VASP calculation (meta-GGA SCAN) on a PBEsol-optimized structure of Na2Ti3Cl8.

Cell: 6.815 6.815 7.817 Å, 64.16 64.16 60.00°
Atoms (fractional coordinates):
1 Na 0.173 0.173 0.481
2 Na 0.840 0.840 0.479
3 Ti 0.528 0.941 0.003
4 Ti 0.528 0.528 0.003
5 Ti 0.941 0.528 0.003
6 Cl 0.100 0.100 0.201
7 Cl 0.600 0.100 0.201
8 Cl 0.908 0.411 0.774
9 Cl 0.100 0.600 0.201
10 Cl 0.581 0.581 0.257
11 Cl 0.411 0.908 0.774
12 Cl 0.393 0.393 0.820
13 Cl 0.908 0.908 0.774

Results
* calculated total energy: -11.025 eV per atom
* crystal system: trigonal
* formation energy without anion corrections: -2217 kJ/mol of formula units
* space group: R3m (160)

***

(2)
VASP calculation (meta-GGA SCAN) on a PBEsol-optimized structure of MgMoOs2I.

Cell: 4.551 4.551 4.855 Å, 90.00 90.00 90.00°
Atoms (fractional coordinates):
1 I 0.000 0.000 0.500
2 Mo 0.500 0.500 0.500
3 Os 0.000 0.500 0.000
4 Os 0.500 0.000 0.000
5 Mg 0.000 0.000 0.000

Results
* calculated total energy: -41.431 eV per atom
* crystal system: tetragonal
* formation energy without anion corrections: 1274 kJ/mol of formula units
* space group: P4/mmm (123)

***

(3)
VASP calculation (meta-GGA SCAN) on a PBEsol-optimized structure of Na5Nd4Si4O17.

Cell: 5.523 8.820 8.820 Å, 84.37 71.75 71.75°
Atoms (fractional coordinates):
1 Na 0.628 0.195 0.015
2 Na 0.837 0.805 0.985
3 Na 0.178 0.985 0.195
4 Na 0.358 0.015 0.805
5 Na 0.750 0.500 0.500
6 Nd 0.158 0.434 0.798
7 Nd 0.390 0.566 0.202
8 Nd 0.408 0.202 0.434
9 Nd 0.044 0.798 0.566
10 Si 0.490 0.645 0.851
11 Si 0.987 0.355 0.149
12 Si 0.864 0.149 0.645
13 Si 0.659 0.851 0.355
14 O 0.250 0.500 0.500
15 O 0.271 0.683 0.752
16 O 0.706 0.317 0.248
17 O 0.046 0.248 0.683
18 O 0.977 0.752 0.317
19 O 0.168 0.221 0.008
20 O 0.398 0.779 0.992
21 O 0.611 0.992 0.221
22 O 0.824 0.008 0.779
23 O 0.483 0.471 0.935
24 O 0.888 0.529 0.065
25 O 0.047 0.065 0.471
26 O 0.582 0.935 0.529
27 O 0.154 0.365 0.270
28 O 0.789 0.635 0.730
29 O 0.482 0.730 0.365
30 O 0.576 0.270 0.635

Results
* calculated total energy: -14.429 eV per atom
* crystal system: tetragonal
* formation energy without anion corrections: -8826 kJ/mol of formula units
* space group: I-4 (82)

***

(4)
VASP calculation (meta-GGA SCAN) on a PBEsol-optimized structure of TaCoSeBr2.

Cell: 4.962 5.057 5.057 Å, 90.00 90.00 90.00°
Atoms (fractional coordinates):
1 Co 0.500 0.500 0.500
2 Se 0.500 0.000 0.000
3 Br 0.000 0.000 0.500
4 Br 0.000 0.500 0.000
5 Ta 0.000 0.000 0.000

Results
* calculated total energy: -28.121 eV per atom
* crystal system: tetragonal
* formation energy without anion corrections: 220 kJ/mol of formula units
* space group: P4/mmm (123)